Entry 1:
Here is crystalline K2GaP at its relaxed geometry from Alexandria via LeMat-Bulk. Energies are from PBEsol.

Cell and atoms, written as extended XYZ:
```
8
Lattice="-2.0470 2.8749 -2.9147 -0.0759 -3.2849 -3.1866 -8.6856 -3.0735 6.6625" Properties=species:S:1:pos:R:3 pbc="T T T"
K -6.7803 -2.3889 4.2027
K -3.0257 -2.5361 -2.2445
K -7.8403 -2.5289 1.2150
K -3.9708 0.4869 -2.0509
Ga 0.0000 0.0000 0.0000
Ga -4.9115 -3.2817 0.2126
P -1.0615 -0.2050 -3.0507
P -5.8971 -0.2018 0.3485
```

Values from the calculation:
Energy of formation from the pure elements in eV/atom: 0.397

Entry 2:
Here is crystalline KGa2SiP at its relaxed geometry from Alexandria via LeMat-Bulk. Energies are from PBEsol.

Cell and atoms, written as extended XYZ:
```
5
Lattice="5.3593 0.0000 0.0000 0.0000 5.3308 0.0000 0.0000 0.0000 5.3308" Properties=species:S:1:pos:R:3 pbc="T T T"
Ga 0.0000 2.6654 0.0000
Ga 0.0000 0.0000 2.6654
K 0.0000 0.0000 0.0000
P 2.6797 2.6654 2.6654
Si 2.6797 0.0000 0.0000
```

Values from the calculation:
E_form (uncorrected) in meV per atom: 1754

Entry 3:
Here is crystalline K3GaPb at its relaxed geometry from Alexandria via LeMat-Bulk. Energies are from PBEsol.

Cell and atoms, written as extended XYZ:
```
5
Lattice="6.6669 0.0000 0.0000 0.0000 6.6669 0.0000 0.0000 0.0000 6.6669" Properties=species:S:1:pos:R:3 pbc="T T T"
Pb 0.0000 0.0000 0.0000
Ga 3.3335 3.3335 3.3335
K 3.3335 0.0000 0.0000
K 0.0000 0.0000 3.3335
K 0.0000 3.3335 0.0000
```

Values from the calculation:
Energy of formation from the pure elements in eV/atom: 0.445

Entry 4:
Here is crystalline KGaRu2Pb at its relaxed geometry from Alexandria via LeMat-Bulk. Energies are from PBEsol.

Cell and atoms, written as extended XYZ:
```
5
Lattice="4.5748 0.0000 0.0000 0.0000 4.5748 0.0000 0.0000 0.0000 5.4915" Properties=species:S:1:pos:R:3 pbc="T T T"
Ru 2.2874 0.0000 0.0000
Ru 0.0000 2.2874 0.0000
Pb 0.0000 0.0000 2.7458
Ga 2.2874 2.2874 2.7458
K 0.0000 0.0000 0.0000
```

Values from the calculation:
Energy of formation from the pure elements in eV/atom: 2.457

Entry 5:
Here is crystalline K2GaPt2 at its relaxed geometry from Alexandria via LeMat-Bulk. Energies are from PBEsol.

Cell and atoms, written as extended XYZ:
```
10
Lattice="-4.1377 -3.5691 0.7184 0.7001 -2.0241 -6.0241 4.1650 -4.4314 1.9730" Properties=species:S:1:pos:R:3 pbc="T T T"
K 1.8405 -6.8072 -2.0777
K 0.8641 -5.1286 0.6376
K -1.1131 -3.2174 -1.2550
K -0.1367 -4.8959 -3.9703
Pt 3.8240 -4.5266 -0.4637
Pt 1.5904 -1.8738 -0.1493
Pt 3.2747 -4.5817 -3.9018
Pt 1.0410 -1.9289 -3.5874
Ga 0.0000 0.0000 0.0000
Ga 2.4325 -3.2277 -2.0255
```

Values from the calculation:
Energy of formation from the pure elements in eV/atom: -0.199

Entry 6:
Here is crystalline KGa3Re at its relaxed geometry from Alexandria via LeMat-Bulk. Energies are from PBEsol.

Cell and atoms, written as extended XYZ:
```
5
Lattice="4.8624 0.0000 0.0000 0.0000 4.8624 0.0000 0.0000 0.0000 4.8624" Properties=species:S:1:pos:R:3 pbc="T T T"
K 2.4312 2.4312 2.4312
Ga 0.0000 2.4312 0.0000
Ga 0.0000 0.0000 2.4312
Ga 2.4312 0.0000 0.0000
Re 0.0000 0.0000 0.0000
```

Values from the calculation:
Energy of formation from the pure elements in eV/atom: -0.047